Here is an optimized crystal structure of Sr3Tl11 from Alexandria via LeMat-Bulk. Energies are from GGA-PBE.

The structure in CIF format:
```
data_Sr3Tl11
_chemical_formula_sum 'Sr6 Tl22'
_symmetry_space_group_name_H-M 'I m m m'
_symmetry_Int_Tables_number 71
_symmetry_space_group_name_Hall '-I 2 2'
_cell_length_a 5.027
_cell_length_b 12.234
_cell_length_c 14.799
_cell_angle_alpha 90.00
_cell_angle_beta 90.00
_cell_angle_gamma 90.00
loop_
_atom_site_label
_atom_site_type_symbol
_atom_site_fract_x
_atom_site_fract_y
_atom_site_fract_z
Sr1 Sr 0.000 0.000 0.000
Sr2 Sr 0.000 0.000 0.294
Tl1 Tl 0.000 0.168 0.500
Tl2 Tl 0.000 0.286 0.159
Tl3 Tl 0.000 0.372 0.365
Tl4 Tl 0.000 0.500 0.000
```

Properties
Total moment in μB per formula unit: 0.00
Total DFT energy (no corrections) in eV per formula unit: -33.894
ΔH_f (0 K) in kJ/mol of atoms: -19.4